The following is a DFT calculation (PBE-GGA) of a relaxed structure of Cs2PuSb2S6.

Cell lengths 15.964, 7.220, 7.708 Å; angles 90.00, 116.54, 90.00 degrees
Space group C2/m (No. 12)
One atom of each set of equivalent atoms:
Cs1 0.242 0.000 0.272 (multiplicity 4)
Pu1 0.000 0.000 0.500 (multiplicity 2)
Sb1 0.036 0.500 0.852 (multiplicity 4)
S1 0.068 0.255 0.341 (multiplicity 8)
S2 0.157 0.000 0.763 (multiplicity 4)

Calculated values
VASP energy   -5.21 eV per atom

***

The following is a DFT calculation (PBE-GGA) of a relaxed structure of Cs2PuSbS4.

Cell lengths 8.749, 8.858, 12.447 Å; angles 90.00, 90.00, 90.00 degrees
Space group Imma (No. 74)
One atom of each set of equivalent atoms:
Cs1 0.000 0.000 0.000 (multiplicity 4)
Cs2 0.250 0.250 0.250 (multiplicity 4)
Pu1 0.250 0.250 0.750 (multiplicity 4)
Sb1 0.000 0.000 0.500 (multiplicity 4)
S1 0.000 0.048 0.727 (multiplicity 8)
S2 0.207 0.250 0.523 (multiplicity 8)

Calculated values
VASP energy   -5.60 eV per atom

***

Number 1: formation energy (no corrections) -746 meV per atom. Number 2: formation energy (no corrections) -1014 meV per atom.